Record 1
First-principles (PBE) data for ZnMoAs3 after structural relaxation, as listed in Alexandria.

## Properties
space group: Pm-3m, No. 221
crystal system: cubic
energy above the lowest structure with this stoichiometry: 0.656 eV/atom
formation energy from the elements: 1.12 eV/atom
spin magnetization: 0.622 μB/atom

Cell: 4.7647 4.7647 4.7647 Å, 90.00 90.00 90.00°
Last column: nearest neighbours and their distance in Å.
Fractional positions:
Zn 0.0000 0.0000 0.0000  6 As 2.38
Mo 0.5000 0.5000 0.5000  12 As 3.37
As 0.0000 0.0000 0.5000  2 Zn 2.38
As 0.0000 0.5000 0.0000  2 Zn 2.38
As 0.5000 0.0000 0.0000  2 Zn 2.38

***

Record 2
First-principles (PBE) data for ReNi2W after structural relaxation, as listed in Alexandria.

## Properties
space group: P4mm, No. 99
crystal system: tetragonal
formation energy from the elements: 0.04 eV/atom
spin magnetization: 0.000 μB/atom

Cell: 3.1335 3.1335 5.4227 Å, 90.00 90.00 90.00°
Last column: nearest neighbours and their distance in Å.
Fractional positions:
Re 0.0000 0.0000 0.0000  6 Ni 2.56-2.86, 4 W 2.66
Ni 0.0000 0.0000 0.5282  4 Ni 2.50, 1 Re 2.56, 4 W 2.61
Ni 0.5000 0.5000 0.7404  4 Ni 2.50, 1 W 2.54, 4 Re 2.63
W 0.5000 0.5000 0.2721  5 Ni 2.54-2.61, 4 Re 2.66

***

Record 3
First-principles (PBE) data for BaY3Cu after structural relaxation, as listed in Alexandria.

## Properties
space group: Pm-3m, No. 221
crystal system: cubic
energy above the lowest structure with this stoichiometry: 0.000 eV/atom
formation energy from the elements: 0.09 eV/atom
spin magnetization: 0.000 μB/atom

Cell: 5.5612 5.5612 5.5612 Å, 90.00 90.00 90.00°
Last column: nearest neighbours and their distance in Å.
Fractional positions:
Ba 0.0000 0.0000 0.0000  12 Y 3.93
Y 0.0000 0.5000 0.5000  2 Cu 2.78
Y 0.5000 0.0000 0.5000  2 Cu 2.78
Y 0.5000 0.5000 0.0000  2 Cu 2.78
Cu 0.5000 0.5000 0.5000  6 Y 2.78

***

Record 4
First-principles (PBE) data for KRe4W after structural relaxation, as listed in Alexandria.

## Properties
space group: F-43m, No. 216
crystal system: cubic
formation energy from the elements: 1.01 eV/atom
spin magnetization: 0.000 μB/atom

Cell: 5.2930 5.2930 5.2930 Å, 60.00 60.00 60.00°
Last column: nearest neighbours and their distance in Å.
Fractional positions:
K 0.0000 0.0000 0.0000  12 Re 3.10, 4 W 3.24
Re 0.1259 0.6247 0.6247  6 Re 2.64-2.65
Re 0.6247 0.1259 0.6247  6 Re 2.64-2.65
Re 0.6247 0.6247 0.1259  6 Re 2.64-2.65
Re 0.6247 0.6247 0.6247  6 Re 2.64-2.65
W 0.2500 0.2500 0.2500  12 Re 3.10, 4 K 3.24

***

Record 5
First-principles (PBE) data for YAgPCl2 after structural relaxation, as listed in Alexandria.

## Properties
space group: P4/mmm, No. 123
crystal system: tetragonal
energy above the lowest structure with this stoichiometry: 0.000 eV/atom
spin magnetization: 0.200 μB/atom
E_form (uncorrected): -0.64 eV per atom

Cell: 5.1621 5.1621 5.6887 Å, 90.00 90.00 90.00°
Last column: nearest neighbours and their distance in Å.
Fractional positions:
Y 0.0000 0.0000 0.0000  4 Cl 2.58, 2 P 2.84
Ag 0.5000 0.5000 0.5000  4 P 3.65, 8 Cl 3.84
P 0.0000 0.0000 0.5000  2 Y 2.84
Cl 0.0000 0.5000 0.0000  2 Y 2.58
Cl 0.5000 0.0000 0.0000  2 Y 2.58

***

Record 6
First-principles (PBE) data for SrTlSi2 after structural relaxation, as listed in Alexandria.

## Properties
space group: R3m, No. 160
crystal system: trigonal
energy above the lowest structure with this stoichiometry: 0.090 eV/atom
spin magnetization: 0.000 μB/atom
E_form (uncorrected): -0.03 eV per atom

Cell: 7.2524 7.2524 7.2524 Å, 33.79 33.79 33.79°
Last column: nearest neighbours and their distance in Å.
Fractional positions:
Sr 0.0000 0.0000 0.0000  3 Si 3.12
Tl 0.2072 0.2072 0.2072  3 Si 2.97
Si 0.4289 0.4289 0.4289  3 Si 2.50
Si 0.7908 0.7908 0.7908  3 Si 2.50

***

Record 7
First-principles (PBE) data for Na2TaCr2Se6 after structural relaxation, as listed in Alexandria.

## Properties
space group: C2/m, No. 12
crystal system: monoclinic
spin magnetization: 0.451 μB/atom
E_form (uncorrected): -0.76 eV per atom

Cell: 6.3194 6.3194 7.4995 Å, 97.94 97.94 119.95°
Last column: nearest neighbours and their distance in Å.
Fractional positions:
Na 0.1641 0.8359 0.0000  6 Se 2.98-3.00
Na 0.8359 0.1641 0.0000  6 Se 2.98-3.00
Ta 0.0000 0.0000 0.5000  6 Se 2.62-2.63
Cr 0.3324 0.6676 0.5000  6 Se 2.55-2.56
Cr 0.6676 0.3324 0.5000  6 Se 2.55-2.56
Se 0.0684 0.4094 0.7050  2 Cr 2.55, 1 Ta 2.62
Se 0.2762 0.2762 0.2945  2 Cr 2.56, 1 Ta 2.63
Se 0.4094 0.0684 0.7050  2 Cr 2.55, 1 Ta 2.62
Se 0.5906 0.9316 0.2950  2 Cr 2.55, 1 Ta 2.62
Se 0.7238 0.7238 0.7055  2 Cr 2.56, 1 Ta 2.63
Se 0.9316 0.5906 0.2950  2 Cr 2.55, 1 Ta 2.62

***

Record 8
First-principles (PBE) data for KTc2 after structural relaxation, as listed in Alexandria.

## Properties
space group: I4_1/amd, No. 141
crystal system: tetragonal
energy above the lowest structure with this stoichiometry: 0.852 eV/atom
formation energy from the elements: 1.43 eV/atom
spin magnetization: 0.000 μB/atom

Cell: 6.8808 6.8808 6.8808 Å, 137.59 137.59 61.54°
Last column: nearest neighbours and their distance in Å.
Fractional positions:
K 0.3750 0.6250 0.7500  4 Tc 3.10
K 0.6250 0.3750 0.2500  4 Tc 3.10
Tc 0.0314 0.7814 0.2500  1 Tc 2.21
Tc 0.2186 0.9686 0.2500  1 Tc 2.21
Tc 0.7814 0.0314 0.7500  1 Tc 2.21
Tc 0.9686 0.2186 0.7500  1 Tc 2.21